[1]
Here is Ce6TeAs5 after structural relaxation from the Alexandria database. Energies are from PBE-GGA.

a = 7.3953 Å, b = 12.8054 Å, c = 7.3877 Å
α = 90.00°, β = 109.52°, γ = 90.00°
With the nearest neighbours (Å) after each atom.
Space group C2/m (No. 12)
Inequivalent atoms, fractional coordinates:
Ce 0.2395 0.0000 0.2558 (multiplicity 4)  5 As 2.92-3.01, 1 Te 3.12
Ce 0.2411 0.1729 0.7422 (multiplicity 8)  5 As 2.95-3.03, 1 Te 3.12
Te 0.0000 0.5000 0.0000 (multiplicity 2)  6 Ce 3.12
As 0.0000 0.0000 0.5000 (multiplicity 2)  6 Ce 2.92-3.03
As 0.0000 0.1672 0.0000 (multiplicity 4)  6 Ce 3.01
As 0.0000 0.3381 0.5000 (multiplicity 4)  6 Ce 2.95-3.03

## Properties
formation energy without anion corrections	-1417	meV per atom
E	-6.583	eV/atom

=====

[2]
Here is Zr10HN8 after structural relaxation from the Alexandria database. Energies are from PBE-GGA.

a = 5.6428 Å, b = 5.6448 Å, c = 8.6391 Å
α = 71.34°, β = 71.31°, γ = 80.12°
With the nearest neighbours (Å) after each atom.
Space group P-1 (No. 2)
Inequivalent atoms, fractional coordinates:
Zr 0.0475 0.2574 0.1541 (multiplicity 2)  5 N 2.24-2.34, 1 H 2.36
Zr 0.1373 0.7552 0.4474 (multiplicity 2)  5 N 2.23-2.33
Zr 0.2508 0.2515 0.7503 (multiplicity 2)  4 N 2.30-2.32, 1 H 2.33
Zr 0.3584 0.7447 0.0531 (multiplicity 2)  5 N 2.23-2.34, 1 H 2.36
Zr 0.4507 0.2382 0.3455 (multiplicity 2)  5 N 2.22-2.33
H 0.0000 0.0000 0.0000 (multiplicity 1)  6 Zr 2.33-2.36
N 0.1008 0.4975 0.3011 (multiplicity 2)  6 Zr 2.24-2.33
N 0.2012 0.9991 0.5985 (multiplicity 2)  6 Zr 2.23-2.33
N 0.3019 0.5010 0.9001 (multiplicity 2)  6 Zr 2.23-2.34
N 0.3983 0.0001 0.2002 (multiplicity 2)  6 Zr 2.22-2.34

## Properties
E	-9.674	eV/atom

=====

[3]
Here is Pm2AlSn3 after structural relaxation from the Alexandria database. Energies are from PBE-GGA.

a = 13.1623 Å, b = 9.2109 Å, c = 5.8056 Å
α = 90.00°, β = 90.00°, γ = 90.00°
With the nearest neighbours (Å) after each atom.
Space group Cmcm (No. 63)
Inequivalent atoms, fractional coordinates:
Pm 0.1454 0.1858 0.2500 (multiplicity 8)  5 Sn 3.18-3.29
Al 0.0000 0.3800 0.7500 (multiplicity 4)  5 Sn 2.67-2.91
Sn 0.0000 0.0902 0.7500 (multiplicity 4)  1 Al 2.67
Sn 0.1720 0.5000 0.0000 (multiplicity 8)  2 Sn 2.90, 2 Al 2.91

## Properties
DFT formation energy	-0.283	eV/atom
E	-4.492	eV/atom

=====

[4]
Here is BaHf2Mo after structural relaxation from the Alexandria database. Energies are from PBE-GGA.

a = 6.1667 Å, b = 6.1667 Å, c = 15.8365 Å
α = 90.00°, β = 90.00°, γ = 90.00°
With the nearest neighbours (Å) after each atom.
Space group I4_1/amd (No. 141, origin choice 2)
Inequivalent atoms, fractional coordinates:
Ba 0.0000 0.2500 0.3750 (multiplicity 4)  8 Hf 3.98, 4 Mo 4.36
Hf 0.0000 0.0000 0.0000 (multiplicity 8)  2 Mo 2.51
Mo 0.0000 0.2500 0.8750 (multiplicity 4)  4 Hf 2.51

## Properties
DFT formation energy	1.250	eV/atom
E	-6.916	eV/atom

=====

Short version: N(E_F) = 66.377; 9.492; 14.533; 23.947 states/eV per cell, in the order given.